This record from Alexandria via LeMat-Bulk describes MnH3O3 after structural relaxation. The functional is GGA+U.

Unit cell a=7.3046 b=7.3046 c=2.8785 alpha=90.00 beta=90.00 gamma=120.00
Space group P6_3/m (No. 176)
Symmetry-distinct sites (fractional):
1 Mn 0.3333 0.6667 0.2500 (multiplicity 2)
2 H 0.0849 0.7464 0.7500 (multiplicity 6)
3 O 0.1887 0.4287 0.7500 (multiplicity 6)

For the raw total energy, the calculation gives -5.69 eV per atom. The density of states at the Fermi level comes out at 0.619 states/eV per atom.